Computed, not measured: Sm3Hg after structural relaxation at the PBE level of DFT.

a b c (Å): 4.892 4.892 4.892
angles (deg): 90.00 90.00 90.00
Fractional positions:
Sm: 0.000 0.000 0.500
Sm: 0.000 0.500 0.000
Sm: 0.500 0.000 0.000
Hg: 0.500 0.500 0.500

Output
* space group: Pm-3m (221)

Computed, not measured: Er6Hg2Ir after structural relaxation at the PBE level of DFT.

a b c (Å): 6.813 7.391 12.170
angles (deg): 90.00 123.78 90.00
Fractional positions:
Er: 0.127 0.017 0.245
Er: 0.127 0.483 0.745
Er: 0.222 0.692 0.051
Er: 0.222 0.808 0.551
Er: 0.368 0.187 0.054
Er: 0.368 0.313 0.554
Er: 0.632 0.687 0.446
Er: 0.632 0.813 0.946
Er: 0.778 0.192 0.449
Er: 0.778 0.308 0.949
Er: 0.873 0.517 0.255
Er: 0.873 0.983 0.755
Hg: 0.294 0.097 0.750
Hg: 0.294 0.403 0.250
Hg: 0.706 0.597 0.750
Hg: 0.706 0.903 0.250
Ir: 0.500 0.000 0.500
Ir: 0.500 0.500 0.000

Output
* space group: P2_1/c (14)

Number 1: DOS(E_F) 5.37 states/eV/f.u., electronic total energy -3.781 eV/atom. Number 2: DOS(E_F) 7.40 states/eV/f.u., electronic total energy -4.489 eV/atom.